No. 1
# CsS (meta-GGA SCAN, single point on PBEsol structure)
data_CsS
_space_group_name_H-M_alt 'P m -3 m'
_space_group_IT_number 221
_space_group_name_Hall '-P 4 2 3'
_cell_length_a 4.0738
_cell_length_b 4.0738
_cell_length_c 4.0738
_cell_angle_alpha 90.00
_cell_angle_beta 90.00
_cell_angle_gamma 90.00
loop_
_atom_site_label
_atom_site_type_symbol
_atom_site_fract_x
_atom_site_fract_y
_atom_site_fract_z
_atom_site_occupancy
Cs1 Cs 0.0000 0.0000 0.0000 1
S1 S 0.5000 0.5000 0.5000 1
# - energy relative to the elements, uncorrected (eV per formula unit) = -1.2

No. 2
# Sr2MoCl (meta-GGA SCAN, single point on PBEsol structure)
data_Sr2MoCl
_space_group_name_H-M_alt 'P 4 m m'
_space_group_IT_number 99
_space_group_name_Hall 'P 4 -2'
_cell_length_a 4.3800
_cell_length_b 4.3800
_cell_length_c 6.2166
_cell_angle_alpha 90.00
_cell_angle_beta 90.00
_cell_angle_gamma 90.00
loop_
_atom_site_label
_atom_site_type_symbol
_atom_site_fract_x
_atom_site_fract_y
_atom_site_fract_z
_atom_site_occupancy
Sr1 Sr 0.0000 0.0000 0.0000 1
Sr2 Sr 0.5000 0.5000 0.4985 1
Mo1 Mo 0.5000 0.5000 0.9985 1
Cl1 Cl 0.0000 0.0000 0.4994 1
# - relative energy among the computed polymorphs (meV per atom) = 108
# - energy relative to the elements, uncorrected (eV per formula unit) = -0.1

No. 3
# Ca2CoP (meta-GGA SCAN, single point on PBEsol structure)
data_Ca2CoP
_space_group_name_H-M_alt 'P 4 m m'
_space_group_IT_number 99
_space_group_name_Hall 'P 4 -2'
_cell_length_a 3.9571
_cell_length_b 3.9571
_cell_length_c 5.8232
_cell_angle_alpha 90.00
_cell_angle_beta 90.00
_cell_angle_gamma 90.00
loop_
_atom_site_label
_atom_site_type_symbol
_atom_site_fract_x
_atom_site_fract_y
_atom_site_fract_z
_atom_site_occupancy
Ca1 Ca 0.0000 0.0000 0.0000 1
Ca2 Ca 0.5000 0.5000 0.4025 1
Co1 Co 0.0000 0.0000 0.5326 1
P1 P 0.5000 0.5000 0.8858 1
# - DFT formation energy (eV/f.u.) = -0.20

No. 4
# NaCaScZnSi4O12 (meta-GGA SCAN, single point on PBEsol structure)
data_NaCaScZnSi4O12
_space_group_name_H-M_alt 'C 1 2 1'
_space_group_IT_number 5
_space_group_name_Hall 'C 2y'
_cell_length_a 9.8531
_cell_length_b 8.9748
_cell_length_c 5.3056
_cell_angle_alpha 90.00
_cell_angle_beta 106.22
_cell_angle_gamma 90.00
loop_
_atom_site_label
_atom_site_type_symbol
_atom_site_fract_x
_atom_site_fract_y
_atom_site_fract_z
_atom_site_occupancy
Na1 Na 0.0000 0.0000 0.0000 1
Ca1 Ca 0.0000 0.3969 0.5000 1
Sc1 Sc 0.0000 0.7975 0.5000 1
Zn1 Zn 0.0000 0.6005 0.0000 1
Si1 Si 0.2114 0.1077 0.5112 1
Si2 Si 0.2114 0.2899 0.0134 1
O1 O 0.1166 0.6109 0.4013 1
O2 O 0.1173 0.7814 0.8933 1
O3 O 0.1380 0.4486 0.9262 1
O4 O 0.1410 0.9466 0.4378 1
O5 O 0.1480 0.2158 0.2468 1
O6 O 0.1497 0.1870 0.7401 1
# - energy relative to the elements, uncorrected (eV per formula unit) = -60.8

no.,energy (eV per atom),D(E_F) (states/eV/atom)
1,-24.31,0.866
2,-21.88,0.764
3,-11.81,0.591
4,-10.86,0.000